Entry 1:
A plane-wave DFT calculation with PBE was carried out for an optimized crystal structure of Rb3AgS2O8.

The structure in POSCAR format:
```
Rb3AgS2O8
1.0
5.9704 0.0000 0.0000
-2.9852 5.1705 0.0000
0.0000 0.0000 7.8134
Rb Ag S O
3 1 2 8
direct
0.0000 0.0000 0.0000
0.3333 0.6667 0.6846
0.6667 0.3333 0.3154
0.0000 0.0000 0.5000
0.3333 0.6667 0.2363
0.6667 0.3333 0.7637
0.1965 0.3930 0.3023
0.1965 0.8035 0.3023
0.3333 0.6667 0.0475
0.3930 0.1965 0.6977
0.6070 0.8035 0.3023
0.6667 0.3333 0.9525
0.8035 0.1965 0.6977
0.8035 0.6070 0.6977
```

Properties
* space group: P-3m1
* formation energy without anion corrections: -1.593 eV per atom

---

Entry 2:
A plane-wave DFT calculation with PBE was carried out for an optimized crystal structure of ZnSiAg2.

The structure in POSCAR format:
```
ZnSiAg2
1.0
2.9222 0.0000 0.0000
0.0000 3.9690 0.0000
0.0000 0.0000 5.6835
Zn Si Ag
1 1 2
direct
0.0000 0.0000 0.0000
0.0000 0.0000 0.5000
0.5000 0.5000 0.2486
0.5000 0.5000 0.7514
```

Properties
* space group: Pmmm
* formation energy without anion corrections: 0.181 eV per atom

---

Entry 3:
A plane-wave DFT calculation with PBE was carried out for an optimized crystal structure of Tc3NiPd.

The structure in POSCAR format:
```
Tc3NiPd
1.0
4.3840 0.0000 0.0000
0.0000 4.3840 0.0000
0.0000 0.0000 4.3840
Tc Ni Pd
3 1 1
direct
0.0000 0.0000 0.5000
0.0000 0.5000 0.0000
0.5000 0.0000 0.0000
0.0000 0.0000 0.0000
0.5000 0.5000 0.5000
```

Properties
* space group: Pm-3m
* energy of formation: 1.409 eV/atom

---

Entry 4:
A plane-wave DFT calculation with PBE was carried out for an optimized crystal structure of CsCa2Os.

The structure in POSCAR format:
```
CsCa2Os
1.0
0.0000 3.8167 3.8167
3.8167 0.0000 3.8167
3.8167 3.8167 0.0000
Cs Ca Os
1 2 1
direct
0.0000 0.0000 0.0000
0.2500 0.2500 0.2500
0.7500 0.7500 0.7500
0.5000 0.5000 0.5000
```

Properties
* space group: Fm-3m
* energy of formation: 0.888 eV/atom